Entry from Alexandria: Fe2AuSe after structural relaxation (PBE).

Values from the calculation:
- space group = R3m, No. 160
- crystal system = trigonal
- energy relative to the elements, uncorrected (kJ/mol of atoms) = 16

The structure in POSCAR format:
```
Fe2AuSe
1.0
-2.327 -5.425 -6.367
0.627 -5.491 -6.695
-0.687 -7.265 -4.703
Au Fe Se
1 2 1
Cartesian
-0.626 -4.769 -4.660
-0.028 -0.217 -0.212
-1.783 -13.575 -13.265
-1.144 -8.711 -8.512
```